VASP calculation (GGA-PBE) on crystalline Mg2GeB2Ir5 at its relaxed geometry.

a = 2.939 Å, b = 9.496 Å, c = 9.496 Å
α = 90.00°, β = 90.00°, γ = 90.00°
Element x y z (fractional)
Mg 0.000 0.175 0.325
Mg 0.000 0.325 0.825
Mg 0.000 0.825 0.675
Mg 0.000 0.675 0.175
Ir 0.500 0.713 0.427
Ir 0.500 0.213 0.073
Ir 0.500 0.500 0.000
Ir 0.500 0.073 0.787
Ir 0.500 0.573 0.713
Ir 0.500 0.787 0.927
Ir 0.500 0.927 0.213
Ir 0.500 0.427 0.287
Ir 0.500 0.000 0.500
Ir 0.500 0.287 0.573
B 0.000 0.125 0.625
B 0.000 0.875 0.375
B 0.000 0.375 0.125
B 0.000 0.625 0.875
Ge 0.000 0.500 0.500
Ge 0.000 0.000 0.000

Output
The symmetry is No. 127. The calculated formation energy is -498 meV/atom. The total magnetic moment is 0.000 μB/f.u. The crystal system is tetragonal.



VASP calculation (GGA-PBE) on crystalline MgGeB2Ir at its relaxed geometry.

a = 4.064 Å, b = 5.210 Å, c = 4.064 Å
α = 90.00°, β = 90.00°, γ = 90.00°
Element x y z (fractional)
Ir 0.000 0.000 0.000
B 0.000 0.000 0.500
B 0.500 0.000 0.000
Mg 0.000 0.500 0.000
Ge 0.500 0.500 0.500

Output
The symmetry is No. 123. The calculated formation energy is 576 meV/atom. The total magnetic moment is 0.000 μB/f.u. The crystal system is tetragonal.



VASP calculation (GGA-PBE) on crystalline Mn2GeB2Ir5 at its relaxed geometry.

a = 2.935 Å, b = 9.437 Å, c = 9.437 Å
α = 90.00°, β = 90.00°, γ = 90.00°
Element x y z (fractional)
Ir 0.500 0.787 0.928
Ir 0.500 0.713 0.428
Ir 0.500 0.500 0.000
Ir 0.500 0.928 0.213
Ir 0.500 0.287 0.572
Ir 0.500 0.428 0.287
Ir 0.500 0.572 0.713
Ir 0.500 0.072 0.787
Ir 0.500 0.000 0.500
Ir 0.500 0.213 0.072
Ge 0.000 0.000 0.000
Ge 0.000 0.500 0.500
B 0.000 0.626 0.874
B 0.000 0.374 0.126
B 0.000 0.874 0.374
B 0.000 0.126 0.626
Mn 0.000 0.324 0.824
Mn 0.000 0.824 0.676
Mn 0.000 0.176 0.324
Mn 0.000 0.676 0.176

Output
The symmetry is No. 127. The calculated formation energy is -265 meV/atom. The total magnetic moment is 9.105 μB/f.u. The crystal system is tetragonal.